Entry 1:
# CoPtW

A PBEsol-optimized structure of CoPtW (SCAN, Alexandria).

Total magnetization ... 0.80 μB/cell
ΔH_f (0 K) ... -0.12 eV per atom
Uncorrected energy ... -157.55 eV/cell
DOS(E_F) ... 2.07 states/eV per cell
Theoretical density ... 18.005 Mg/m³
Symmetry ... Imm2, No. 44

Cell and atoms, written as extended XYZ:
```
3
Lattice="-1.346 1.848 4.060 1.346 -1.848 4.060 1.346 1.848 -4.060" Properties=species:S:1:pos:R:3 pbc="T T T"
Co 0.000 0.000 0.000
Pt 0.000 0.000 5.448
W 0.000 0.000 2.828
```

=====

Entry 2:
# Sr2RhW

A PBEsol-optimized structure of Sr2RhW (SCAN, Alexandria).

Total magnetization ... 0.00 μB/cell
Excess energy over the best structure of this formula in the dataset ... 61.6 kJ/mol of atoms
ΔH_f (0 K) ... 1.06 eV per atom
Uncorrected energy ... -143.78 eV/cell
DOS(E_F) ... 3.20 states/eV per cell
Theoretical density ... 8.928 Mg/m³
Symmetry ... Cmmm, No. 65

Cell and atoms, written as extended XYZ:
```
4
Lattice="2.832 -4.978 0.000 2.832 4.978 0.000 0.000 0.000 3.048" Properties=species:S:1:pos:R:3 pbc="T T T"
Sr 1.416 2.489 0.000
Sr 1.416 -2.489 0.000
Rh 0.000 0.000 1.524
W 2.832 0.000 1.524
```

=====

Entry 3:
# MgIrRhSe2

A PBEsol-optimized structure of MgIrRhSe2 (SCAN, Alexandria).

Total magnetization ... 0.00 μB/cell
Uncorrected energy ... -143.15 eV/cell
DOS(E_F) ... 6.62 states/eV per cell
Theoretical density ... 8.004 Mg/m³
Symmetry ... P4/mmm, No. 123

Cell and atoms, written as extended XYZ:
```
5
Lattice="4.655 0.000 0.000 0.000 4.655 0.000 0.000 0.000 4.570" Properties=species:S:1:pos:R:3 pbc="T T T"
Mg 0.000 0.000 0.000
Ir 0.000 0.000 2.285
Rh 2.328 2.328 2.285
Se 0.000 2.328 0.000
Se 2.328 0.000 0.000
```

=====

Entry 4:
# BaMg2In

A PBEsol-optimized structure of BaMg2In (SCAN, Alexandria).

Total magnetization ... 0.01 μB/cell
ΔH_f (0 K) ... -0.20 eV per atom
Uncorrected energy ... -83.68 eV/cell
DOS(E_F) ... 1.61 states/eV per cell
Theoretical density ... 4.342 Mg/m³
Symmetry ... F-43m, No. 216

Cell and atoms, written as extended XYZ:
```
4
Lattice="0.000 3.860 3.860 3.860 0.000 3.860 3.860 3.860 0.000" Properties=species:S:1:pos:R:3 pbc="T T T"
Ba 0.000 0.000 0.000
Mg 1.930 1.930 1.930
Mg 3.860 3.860 3.860
In 5.790 5.790 5.790
```

=====

Entry 5:
# TmMg5

A PBEsol-optimized structure of TmMg5 (SCAN, Alexandria).

Total magnetization ... 0.00 μB/cell
ΔH_f (0 K) ... 0.02 eV per atom
Uncorrected energy ... -76.60 eV/cell
DOS(E_F) ... 3.36 states/eV per cell
Theoretical density ... 3.375 Mg/m³
Symmetry ... Amm2, No. 38

Cell and atoms, written as extended XYZ:
```
6
Lattice="5.224 0.000 0.000 0.000 1.605 8.522 0.000 -1.605 8.522" Properties=species:S:1:pos:R:3 pbc="T T T"
Tm 0.000 0.000 0.000
Mg 0.000 0.000 5.615
Mg 0.000 0.000 11.371
Mg 2.612 0.000 3.759
Mg 2.612 0.000 9.513
Mg 2.612 0.000 15.126
```

=====

Entry 6:
# YAg3

A PBEsol-optimized structure of YAg3 (SCAN, Alexandria).

Total magnetization ... 0.00 μB/cell
ΔH_f (0 K) ... -0.23 eV per atom
Uncorrected energy ... -122.85 eV/cell
DOS(E_F) ... 1.32 states/eV per cell
Theoretical density ... 8.726 Mg/m³
Symmetry ... P4/mmm, No. 123

Cell and atoms, written as extended XYZ:
```
4
Lattice="3.504 0.000 0.000 0.000 3.504 0.000 0.000 0.000 6.395" Properties=species:S:1:pos:R:3 pbc="T T T"
Y 0.000 0.000 0.000
Ag 0.000 0.000 3.198
Ag 1.752 1.752 1.781
Ag 1.752 1.752 4.615
```

=====

Entry 7:
# Mn2PtPb

A PBEsol-optimized structure of Mn2PtPb (SCAN, Alexandria).

Total magnetization ... 8.10 μB/cell
ΔH_f (0 K) ... -0.12 eV per atom
Uncorrected energy ... -182.95 eV/cell
DOS(E_F) ... 2.49 states/eV per cell
Theoretical density ... 12.716 Mg/m³
Symmetry ... P4mm, No. 99

Cell and atoms, written as extended XYZ:
```
4
Lattice="3.367 0.000 0.000 0.000 3.367 0.000 0.000 0.000 5.898" Properties=species:S:1:pos:R:3 pbc="T T T"
Mn 0.000 0.000 0.000
Mn 1.684 1.684 1.353
Pt 1.684 1.684 4.668
Pb 0.000 0.000 2.941
```

=====

Entry 8:
# InCo2H

A PBEsol-optimized structure of InCo2H (SCAN, Alexandria).

Total magnetization ... 1.40 μB/cell
Uncorrected energy ... -67.20 eV/cell
DOS(E_F) ... 6.53 states/eV per cell
Theoretical density ... 8.294 Mg/m³
Symmetry ... Fm-3m, No. 225

Cell and atoms, written as extended XYZ:
```
4
Lattice="0.000 2.860 2.860 2.860 0.000 2.860 2.860 2.860 0.000" Properties=species:S:1:pos:R:3 pbc="T T T"
In 0.000 0.000 0.000
Co 1.430 1.430 1.430
Co 4.290 4.290 4.290
H 2.860 2.860 2.860
```

=====

Entry 9:
# Hf2HI

A PBEsol-optimized structure of Hf2HI (SCAN, Alexandria).

Total magnetization ... 0.00 μB/cell
Excess energy over the best structure of this formula in the dataset ... 40.0 kJ/mol of atoms
Uncorrected energy ... -162.76 eV/cell
DOS(E_F) ... 2.54 states/eV per cell
Theoretical density ... 11.183 Mg/m³
Symmetry ... Fm-3m, No. 225

Cell and atoms, written as extended XYZ:
```
4
Lattice="0.000 3.302 3.302 3.302 0.000 3.302 3.302 3.302 0.000" Properties=species:S:1:pos:R:3 pbc="T T T"
Hf 1.651 1.651 1.651
Hf 4.953 4.953 4.953
H 0.000 0.000 0.000
I 3.302 3.302 3.302
```

=====

Entry 10:
# BiSb2MoI

A PBEsol-optimized structure of BiSb2MoI (SCAN, Alexandria).

Total magnetization ... 3.48 μB/cell
Uncorrected energy ... -217.56 eV/cell
DOS(E_F) ... 3.05 states/eV per cell
Theoretical density ... 5.736 Mg/m³
Symmetry ... P4/mmm, No. 123

Cell and atoms, written as extended XYZ:
```
5
Lattice="5.793 0.000 0.000 0.000 5.793 0.000 0.000 0.000 5.825" Properties=species:S:1:pos:R:3 pbc="T T T"
Bi 0.000 0.000 0.000
Sb 0.000 2.897 0.000
Sb 2.897 0.000 0.000
Mo 2.897 2.897 2.913
I 0.000 0.000 2.913
```

=====

Entry 11:
# SrZn2Se2

A PBEsol-optimized structure of SrZn2Se2 (SCAN, Alexandria).

Total magnetization ... 0.00 μB/cell
Uncorrected energy ... -94.06 eV/cell
DOS(E_F) ... 0.73 states/eV per cell
Theoretical density ... 5.765 Mg/m³
Symmetry ... I4/mmm, No. 139

Cell and atoms, written as extended XYZ:
```
5
Lattice="-2.453 2.453 4.504 2.453 -2.453 4.504 2.453 2.453 -4.504" Properties=species:S:1:pos:R:3 pbc="T T T"
Sr 0.000 0.000 0.000
Zn 0.000 0.000 3.315
Zn 0.000 0.000 5.693
Se 2.453 0.000 2.252
Se 0.000 2.453 2.252
```

=====

Entry 12:
# HoFe4Cu3O12

A PBEsol-optimized structure of HoFe4Cu3O12 (SCAN, Alexandria).

Total magnetization ... 4.00 μB/cell
Uncorrected energy ... -274.45 eV/cell
DOS(E_F) ... 6.41 states/eV per cell
Theoretical density ... 7.169 Mg/m³
Symmetry ... Im-3, No. 204

Cell and atoms, written as extended XYZ:
```
20
Lattice="-3.548 3.548 3.548 3.548 -3.548 3.548 3.548 3.548 -3.548" Properties=species:S:1:pos:R:3 pbc="T T T"
Ho 0.000 0.000 0.000
Fe 1.774 1.774 -1.774
Fe 1.774 -1.774 1.774
Fe -1.774 1.774 1.774
Fe 1.774 1.774 1.774
Cu 3.548 0.000 0.000
Cu 0.000 3.548 0.000
Cu 0.000 0.000 3.548
O 3.548 -1.419 2.294
O 2.129 1.253 0.000
O 4.966 1.253 0.000
O 2.294 3.548 -1.419
O 1.253 0.000 2.129
O 0.000 2.129 1.253
O 3.548 1.419 2.294
O 2.294 3.548 1.419
O 1.253 0.000 4.966
O -1.419 2.294 3.548
O 1.419 2.294 3.548
O 0.000 4.966 1.253
```

=====

Entry 13:
# Ba4AlMo

A PBEsol-optimized structure of Ba4AlMo (SCAN, Alexandria).

Total magnetization ... 3.20 μB/cell
ΔH_f (0 K) ... 1.05 eV per atom
Uncorrected energy ... -194.53 eV/cell
DOS(E_F) ... 4.32 states/eV per cell
Theoretical density ... 4.841 Mg/m³
Symmetry ... F-43m, No. 216

Cell and atoms, written as extended XYZ:
```
6
Lattice="0.000 4.867 4.867 4.867 0.000 4.867 4.867 4.867 0.000" Properties=species:S:1:pos:R:3 pbc="T T T"
Ba 1.213 1.213 1.213
Ba 3.654 3.654 1.213
Ba 3.654 1.213 3.654
Ba 1.213 3.654 3.654
Al 7.301 7.301 7.301
Mo 4.867 4.867 4.867
```